Record 1
# La4InBiO | the Alexandria database | PBE-GGA | relaxed
# * DOS at the Fermi energy: 7.4 states/eV/f.u.
# * SG: Cmcm, No. 63
# * energy: -5.723 eV/atom
# * calculated volume: 30.4 Å³/atom
data_La4InBiO
_chemical_formula_sum 'La8 In2 Bi2 O2'
_symmetry_space_group_name_H-M 'P 1'
_symmetry_Int_Tables_number 1
_cell_length_a 9.794
_cell_length_b 9.794
_cell_length_c 6.776
_cell_angle_alpha 90.00
_cell_angle_beta 90.00
_cell_angle_gamma 139.11
loop_
_symmetry_equiv_pos_as_xyz
'x,y,z'
loop_
_atom_site_label
_atom_site_type_symbol
_atom_site_fract_x
_atom_site_fract_y
_atom_site_fract_z
La1 La 0.000 0.500 0.000
La2 La 0.000 0.500 0.500
La3 La 0.065 0.935 0.750
La4 La 0.420 0.580 0.750
La5 La 0.500 0.000 0.000
La6 La 0.500 0.000 0.500
La7 La 0.580 0.420 0.250
La8 La 0.935 0.065 0.250
In1 In 0.114 0.886 0.250
In2 In 0.886 0.114 0.750
Bi1 Bi 0.389 0.611 0.250
Bi2 Bi 0.611 0.389 0.750
O1 O 0.293 0.707 0.750
O2 O 0.707 0.293 0.250


Record 2
# ScBeZn2 | the Alexandria database | PBE-GGA | relaxed
# * DOS at the Fermi energy: 1.9 states/eV/f.u.
# * SG: P2/m, No. 10
# * calculated volume: 15.5 Å³/atom
# * ΔH_f (0 K): -0.049 eV/atom
data_ScBeZn2
_chemical_formula_sum 'Sc1 Be1 Zn2'
_symmetry_space_group_name_H-M 'P 1'
_symmetry_Int_Tables_number 1
_cell_length_a 2.978
_cell_length_b 4.097
_cell_length_c 5.200
_cell_angle_alpha 90.00
_cell_angle_beta 101.73
_cell_angle_gamma 90.00
loop_
_symmetry_equiv_pos_as_xyz
'x,y,z'
loop_
_atom_site_label
_atom_site_type_symbol
_atom_site_fract_x
_atom_site_fract_y
_atom_site_fract_z
Sc1 Sc 0.000 0.000 0.000
Be1 Be 0.500 0.000 0.500
Zn1 Zn 0.381 0.500 0.722
Zn2 Zn 0.619 0.500 0.278


Record 3
# Tb2PrS4 | the Alexandria database | PBE-GGA | relaxed
# * DOS at the Fermi energy: 2.3 states/eV/f.u.
# * SG: Pnma, No. 62
# * energy: -6.417 eV/atom
# * calculated volume: 23.8 Å³/atom
data_Tb2PrS4
_chemical_formula_sum 'Tb8 Pr4 S16'
_symmetry_space_group_name_H-M 'P 1'
_symmetry_Int_Tables_number 1
_cell_length_a 11.921
_cell_length_b 3.916
_cell_length_c 14.292
_cell_angle_alpha 90.00
_cell_angle_beta 90.00
_cell_angle_gamma 90.00
loop_
_symmetry_equiv_pos_as_xyz
'x,y,z'
loop_
_atom_site_label
_atom_site_type_symbol
_atom_site_fract_x
_atom_site_fract_y
_atom_site_fract_z
Tb1 Tb 0.069 0.250 0.111
Tb2 Tb 0.089 0.250 0.596
Tb3 Tb 0.411 0.750 0.096
Tb4 Tb 0.431 0.750 0.611
Tb5 Tb 0.569 0.250 0.389
Tb6 Tb 0.589 0.250 0.904
Tb7 Tb 0.911 0.750 0.404
Tb8 Tb 0.931 0.750 0.889
Pr1 Pr 0.248 0.250 0.334
Pr2 Pr 0.252 0.750 0.834
Pr3 Pr 0.748 0.250 0.166
Pr4 Pr 0.752 0.750 0.666
S1 S 0.031 0.750 0.717
S2 S 0.092 0.250 0.920
S3 S 0.134 0.750 0.464
S4 S 0.205 0.750 0.185
S5 S 0.295 0.250 0.685
S6 S 0.366 0.250 0.964
S7 S 0.408 0.750 0.420
S8 S 0.469 0.250 0.217
S9 S 0.531 0.750 0.783
S10 S 0.592 0.250 0.580
S11 S 0.634 0.750 0.036
S12 S 0.705 0.750 0.315
S13 S 0.795 0.250 0.815
S14 S 0.866 0.250 0.536
S15 S 0.908 0.750 0.080
S16 S 0.969 0.250 0.283